# IrSeBr4 PBE optimized geometry
# * Fermi-level density of states: 1.356 states/eV per atom
# * raw total energy: -1.60 eV/atom
data_IrSeBr4
_chemical_formula_sum 'Ir1 Se1 Br4'
_symmetry_space_group_name_H-M 'P 1'
_symmetry_Int_Tables_number 1
_cell_length_a 6.033
_cell_length_b 6.033
_cell_length_c 6.033
_cell_angle_alpha 60.00
_cell_angle_beta 60.00
_cell_angle_gamma 60.00
loop_
_symmetry_equiv_pos_as_xyz
'x,y,z'
loop_
_atom_site_label
_atom_site_type_symbol
_atom_site_fract_x
_atom_site_fract_y
_atom_site_fract_z
Ir1 Ir 0.000 0.000 0.000
Se1 Se 0.750 0.750 0.750
Br1 Br 0.374 0.374 0.374
Br2 Br 0.374 0.374 0.878
Br3 Br 0.374 0.878 0.374
Br4 Br 0.878 0.374 0.374